Record 1
DFT (PBE) results for an optimized crystal structure of Ba7As6.

Unit cell a=11.4135 b=11.4135 c=11.4135 alpha=38.92 beta=38.92 gamma=38.92
Sites, in units of the cell vectors:
Ba: 0.0000 0.0000 0.0000
Ba: 0.0787 0.0787 0.5562
Ba: 0.0787 0.5562 0.0787
Ba: 0.4438 0.9213 0.9213
Ba: 0.5562 0.0787 0.0787
Ba: 0.9213 0.4438 0.9213
Ba: 0.9213 0.9213 0.4438
As: 0.1636 0.1636 0.1636
As: 0.3328 0.3328 0.3328
As: 0.4105 0.4105 0.4105
As: 0.5895 0.5895 0.5895
As: 0.6672 0.6672 0.6672
As: 0.8364 0.8364 0.8364

Summary:
E_form: -0.387 eV/atom

***

Record 2
DFT (PBE) results for an optimized crystal structure of TlSnAu.

Unit cell a=5.3691 b=5.3691 c=6.0527 alpha=90.00 beta=90.00 gamma=120.00
Sites, in units of the cell vectors:
Tl: 0.3333 0.6667 0.2500
Tl: 0.6667 0.3333 0.7500
Sn: 0.3333 0.6667 0.7500
Sn: 0.6667 0.3333 0.2500
Au: 0.0000 0.0000 0.0000
Au: 0.0000 0.0000 0.5000

Summary:
E_form: 0.210 eV/atom

***

Record 3
DFT (PBE) results for an optimized crystal structure of VCuNiIr.

Unit cell a=4.1660 b=4.1660 c=4.1660 alpha=60.00 beta=60.00 gamma=60.00
Sites, in units of the cell vectors:
V: 0.0000 0.0000 0.0000
Cu: 0.5000 0.5000 0.5000
Ni: 0.2500 0.2500 0.2500
Ir: 0.7500 0.7500 0.7500

Summary:
E_form: -0.149 eV/atom

***

Record 4
DFT (PBE) results for an optimized crystal structure of ErTlCoCl6.

Unit cell a=6.6320 b=6.6320 c=7.1600 alpha=90.12 beta=90.12 gamma=120.16
Sites, in units of the cell vectors:
Er: 0.0000 0.0000 0.0000
Tl: 0.3332 0.6668 0.5000
Co: 0.6668 0.3332 0.0000
Cl: 0.3524 0.0464 0.2022
Cl: 0.3527 0.3041 0.7981
Cl: 0.6959 0.6473 0.2019
Cl: 0.7019 0.0526 0.7943
Cl: 0.9474 0.2981 0.2057
Cl: 0.9536 0.6476 0.7978

Summary:
Uncorrected formation energy: -1422.6 meV/atom

***

Record 5
DFT (PBE) results for an optimized crystal structure of Pm2ZnPb2.

Unit cell a=9.2648 b=8.0585 c=7.8531 alpha=90.00 beta=90.00 gamma=90.00
Sites, in units of the cell vectors:
Pm: 0.1157 0.2500 0.0000
Pm: 0.1157 0.2500 0.5000
Pm: 0.3705 0.7500 0.0000
Pm: 0.3705 0.7500 0.5000
Pm: 0.6295 0.2500 0.0000
Pm: 0.6295 0.2500 0.5000
Pm: 0.8843 0.7500 0.0000
Pm: 0.8843 0.7500 0.5000
Zn: 0.3762 0.0812 0.2500
Zn: 0.3762 0.4188 0.7500
Zn: 0.6238 0.5812 0.2500
Zn: 0.6238 0.9188 0.7500
Pb: 0.1204 0.5853 0.7500
Pb: 0.1204 0.9147 0.2500
Pb: 0.3559 0.0750 0.7500
Pb: 0.3559 0.4250 0.2500
Pb: 0.6441 0.5750 0.7500
Pb: 0.6441 0.9250 0.2500
Pb: 0.8796 0.0853 0.7500
Pb: 0.8796 0.4147 0.2500

Summary:
E_form: -0.424 eV/atom
Relative energy among the computed polymorphs: 0 meV per atom

***

Record 6
DFT (PBE) results for an optimized crystal structure of NiOs2Se.

Unit cell a=3.0354 b=3.0354 c=6.0681 alpha=90.00 beta=90.00 gamma=90.00
Sites, in units of the cell vectors:
Ni: 0.0000 0.0000 0.0000
Os: 0.5000 0.5000 0.2256
Os: 0.5000 0.5000 0.7744
Se: 0.0000 0.0000 0.5000

Summary:
Uncorrected formation energy: 591.5 meV/atom

***

Record 7
DFT (PBE) results for an optimized crystal structure of Ba2LiCdH6.

Unit cell a=5.8465 b=5.8465 c=5.8421 alpha=119.92 beta=119.92 gamma=89.92
Sites, in units of the cell vectors:
Ba: 0.2490 0.7510 0.0000
Ba: 0.7510 0.2490 0.0000
Li: 0.0000 0.0000 0.5000
Cd: 0.5000 0.5000 0.5000
H: 0.2416 0.2416 0.4953
H: 0.2421 0.2421 0.9881
H: 0.2437 0.7563 0.5000
H: 0.7563 0.2437 0.5000
H: 0.7579 0.7579 0.0119
H: 0.7584 0.7584 0.5047

Summary:
VASP energy: -29.49 eV per cell

***

Record 8
DFT (PBE) results for an optimized crystal structure of Hf2TcAu.

Unit cell a=9.6184 b=9.6184 c=9.6184 alpha=154.49 beta=154.49 gamma=36.39
Sites, in units of the cell vectors:
Hf: 0.1158 0.6250 0.9908
Hf: 0.3750 0.3658 0.4908
Hf: 0.6342 0.1250 0.0092
Hf: 0.8750 0.8842 0.5092
Tc: 0.0000 0.0000 0.0000
Tc: 0.7500 0.2500 0.5000
Au: 0.2500 0.7500 0.5000
Au: 0.5000 0.5000 0.0000

Summary:
E_form: 0.379 eV/atom

***

Record 9
DFT (PBE) results for an optimized crystal structure of Na8In2Pb.

Unit cell a=8.9214 b=8.9214 c=5.7354 alpha=103.51 beta=103.51 gamma=119.92
Sites, in units of the cell vectors:
Na: 0.0886 0.3179 0.6278
Na: 0.2115 0.7885 0.0000
Na: 0.3179 0.0886 0.6278
Na: 0.3898 0.3898 0.1970
Na: 0.6102 0.6102 0.8030
Na: 0.6821 0.9114 0.3722
Na: 0.7885 0.2115 0.0000
Na: 0.9114 0.6821 0.3722
In: 0.3118 0.6882 0.5000
In: 0.6882 0.3118 0.5000
Pb: 0.0000 0.0000 0.0000

Summary:
E_form: -0.013 eV/atom
Relative energy among the computed polymorphs: 0 meV per atom

***

Record 10
DFT (PBE) results for an optimized crystal structure of TeMo2W.

Unit cell a=3.2311 b=4.4321 c=4.7907 alpha=90.00 beta=90.00 gamma=90.00
Sites, in units of the cell vectors:
Te: 0.0000 0.0000 0.0000
Mo: 0.0000 0.5000 0.5000
Mo: 0.5000 0.5000 0.0000
W: 0.5000 0.0000 0.5000

Summary:
Uncorrected formation energy: 534.6 meV/atom

***

Record 11
DFT (PBE) results for an optimized crystal structure of Cs4PrU3S12.

Unit cell a=9.1906 b=9.1906 c=9.1906 alpha=109.47 beta=109.47 gamma=109.47
Sites, in units of the cell vectors:
Cs: 0.0000 0.0000 0.5000
Cs: 0.0000 0.5000 0.0000
Cs: 0.5000 0.0000 0.0000
Cs: 0.5000 0.5000 0.5000
Pr: 0.0000 0.0000 0.0000
U: 0.0000 0.5000 0.5000
U: 0.5000 0.0000 0.5000
U: 0.5000 0.5000 0.0000
S: 0.0000 0.2652 0.2652
S: 0.0000 0.7348 0.7348
S: 0.2500 0.5000 0.7500
S: 0.2500 0.7500 0.5000
S: 0.2652 0.0000 0.2652
S: 0.2652 0.2652 0.0000
S: 0.5000 0.2500 0.7500
S: 0.5000 0.7500 0.2500
S: 0.7348 0.0000 0.7348
S: 0.7348 0.7348 0.0000
S: 0.7500 0.2500 0.5000
S: 0.7500 0.5000 0.2500

Summary:
Uncorrected formation energy: -1386.1 meV/atom

***

Record 12
DFT (PBE) results for an optimized crystal structure of Ca2YRe.

Unit cell a=5.2244 b=5.2244 c=5.2244 alpha=121.24 beta=119.41 gamma=89.44
Sites, in units of the cell vectors:
Ca: 0.0000 0.0000 0.0000
Ca: 0.7450 0.2450 0.5000
Y: 0.4928 0.4928 0.0000
Re: 0.2504 0.7504 0.5000

Summary:
E_form: 0.542 eV/atom
Relative energy among the computed polymorphs: 156 meV per atom

***

Record 13
DFT (PBE) results for an optimized crystal structure of Sm2InTe.

Unit cell a=12.3428 b=12.3428 c=4.3823 alpha=90.00 beta=90.00 gamma=158.59
Sites, in units of the cell vectors:
Sm: 0.0648 0.9352 0.7500
Sm: 0.3232 0.6768 0.7500
Sm: 0.6768 0.3232 0.2500
Sm: 0.9352 0.0648 0.2500
In: 0.4573 0.5427 0.7500
In: 0.5427 0.4573 0.2500
Te: 0.1927 0.8073 0.7500
Te: 0.8073 0.1927 0.2500

Summary:
Relative energy among the computed polymorphs: 0 meV per atom
Uncorrected formation energy: -965.3 meV/atom

***

Record 14
DFT (PBE) results for an optimized crystal structure of Rb2InAu.

Unit cell a=4.8624 b=4.8624 c=9.7931 alpha=104.28 beta=104.28 gamma=59.99
Sites, in units of the cell vectors:
Rb: 0.0000 0.0000 0.0000
Rb: 0.1764 0.1764 0.5313
In: 0.4215 0.4215 0.2656
Au: 0.7549 0.7549 0.2661

Summary:
E_form: -0.199 eV/atom

***

Record 15
DFT (PBE) results for an optimized crystal structure of AgTeAsBr.

Unit cell a=3.9138 b=3.9138 c=8.0567 alpha=96.93 beta=96.93 gamma=76.86
Sites, in units of the cell vectors:
Ag: 0.0000 0.0000 0.0000
Te: 0.3077 0.3077 0.5288
As: 0.9428 0.9428 0.6775
Br: 0.6188 0.6188 0.1444

Summary:
Uncorrected formation energy: -65.4 meV/atom

***

Record 16
DFT (PBE) results for an optimized crystal structure of K3Ga2Ge4.

Unit cell a=4.5214 b=7.0136 c=9.2548 alpha=78.30 beta=84.87 gamma=75.58
Sites, in units of the cell vectors:
K: 0.0000 0.0000 0.0000
K: 0.2515 0.2309 0.6030
K: 0.7485 0.7691 0.3970
Ga: 0.2835 0.2983 0.1763
Ga: 0.7165 0.7017 0.8237
Ge: 0.2210 0.7090 0.6915
Ge: 0.4463 0.4053 0.8982
Ge: 0.5537 0.5947 0.1018
Ge: 0.7790 0.2910 0.3085

Summary:
E_form: -0.060 eV/atom

***

Record 17
DFT (PBE) results for an optimized crystal structure of LiSmNi.

Unit cell a=7.9735 b=7.9735 c=7.9735 alpha=158.58 beta=158.58 gamma=30.48
Sites, in units of the cell vectors:
Li: 0.0000 0.0000 0.0000
Sm: 0.3147 0.3147 0.0000
Ni: 0.1570 0.1570 0.0000

Summary:
E_form: 0.663 eV/atom
Relative energy among the computed polymorphs: 868 meV per atom

***

Record 18
DFT (PBE) results for an optimized crystal structure of U2Si3Ni4Ir.

Unit cell a=3.7638 b=3.7638 c=10.5334 alpha=90.00 beta=90.00 gamma=90.00
Sites, in units of the cell vectors:
U: 0.0000 0.5000 0.2468
U: 0.5000 0.0000 0.7532
Si: 0.0000 0.0000 0.0000
Si: 0.0000 0.5000 0.6223
Si: 0.5000 0.0000 0.3777
Ni: 0.0000 0.0000 0.5000
Ni: 0.0000 0.5000 0.8377
Ni: 0.5000 0.0000 0.1623
Ni: 0.5000 0.5000 0.5000
Ir: 0.5000 0.5000 0.0000

Summary:
Uncorrected formation energy: -503.9 meV/atom

***

Record 19
DFT (PBE) results for an optimized crystal structure of Be2In2GaO6.

Unit cell a=5.1154 b=5.1154 c=6.1096 alpha=90.00 beta=90.00 gamma=120.00
Sites, in units of the cell vectors:
Be: 0.3333 0.6667 0.3113
Be: 0.6667 0.3333 0.6887
In: 0.3333 0.6667 0.8149
In: 0.6667 0.3333 0.1851
Ga: 0.0000 0.0000 0.5000
O: 0.0557 0.7109 0.3036
O: 0.2891 0.3448 0.3036
O: 0.3448 0.0557 0.6964
O: 0.6552 0.9443 0.3036
O: 0.7109 0.6552 0.6964
O: 0.9443 0.2891 0.6964

Summary:
Uncorrected formation energy: -1677.2 meV/atom

***

Record 20
DFT (PBE) results for an optimized crystal structure of Ca2WSe.

Unit cell a=6.2632 b=6.2632 c=6.2632 alpha=139.79 beta=139.79 gamma=58.17
Sites, in units of the cell vectors:
Ca: 0.0000 0.0000 0.0000
Ca: 0.7500 0.2500 0.5000
W: 0.5000 0.5000 0.0000
Se: 0.2500 0.7500 0.5000

Summary:
Uncorrected formation energy: 383.8 meV/atom

***

Record 21
DFT (PBE) results for an optimized crystal structure of LiLa2NdHg4.

Unit cell a=9.4415 b=9.4415 c=9.4415 alpha=32.89 beta=32.89 gamma=32.89
Sites, in units of the cell vectors:
Li: 0.0000 0.0000 0.0000
La: 0.2552 0.2552 0.2552
La: 0.7448 0.7448 0.7448
Nd: 0.5000 0.5000 0.5000
Hg: 0.1238 0.1238 0.1238
Hg: 0.3741 0.3741 0.3741
Hg: 0.6259 0.6259 0.6259
Hg: 0.8762 0.8762 0.8762

Summary:
E_form: -0.457 eV/atom

***

Record 22
DFT (PBE) results for an optimized crystal structure of NdPaBi.

Unit cell a=11.7128 b=11.7128 c=11.7128 alpha=159.34 beta=159.34 gamma=29.38
Sites, in units of the cell vectors:
Nd: 0.1258 0.1258 0.0000
Nd: 0.8742 0.8742 0.0000
Pa: 0.2762 0.2762 0.0000
Pa: 0.7238 0.7238 0.0000
Bi: 0.4257 0.4257 0.0000
Bi: 0.5743 0.5743 0.0000

Summary:
E_form: -0.038 eV/atom
Relative energy among the computed polymorphs: 0 meV per atom

***

Record 23
DFT (PBE) results for an optimized crystal structure of CaZnCd4Ag2.

Unit cell a=9.1690 b=9.1690 c=9.1690 alpha=30.33 beta=30.33 gamma=30.33
Sites, in units of the cell vectors:
Ca: 0.0000 0.0000 0.0000
Zn: 0.5000 0.5000 0.5000
Cd: 0.1298 0.1298 0.1298
Cd: 0.3923 0.3923 0.3923
Cd: 0.6077 0.6077 0.6077
Cd: 0.8702 0.8702 0.8702
Ag: 0.2526 0.2526 0.2526
Ag: 0.7474 0.7474 0.7474

Summary:
E_form: -0.088 eV/atom

***

Record 24
DFT (PBE) results for an optimized crystal structure of CdSiTeI2.

Unit cell a=5.5322 b=5.5322 c=5.4724 alpha=90.00 beta=90.00 gamma=90.00
Sites, in units of the cell vectors:
Cd: 0.0000 0.0000 0.0000
Si: 0.5000 0.5000 0.5000
Te: 0.5000 0.5000 0.0000
I: 0.0000 0.5000 0.5000
I: 0.5000 0.0000 0.5000

Summary:
Relative energy among the computed polymorphs: 0 meV per atom
Uncorrected formation energy: 210.1 meV/atom